Ba6Lu2W3O18: relaxed, PBE with a Hubbard U.

## Properties
The density of states at the Fermi level comes out at 0.00 states/eV/f.u. For the total energy, the calculation gives -7.35 eV per atom. The calculation puts the magnetic moment at 0.00 μB/f.u.

Unit cell a=14.8375 b=14.8375 c=14.8375 alpha=23.03 beta=23.03 gamma=23.03
With the nearest neighbours (Å) after each atom.
Positions (direct):
Ba  0.0878  0.0878  0.0878  9 O 2.74-2.97
Ba  0.1867  0.1867  0.1867  9 O 2.84-3.00
Ba  0.3633  0.3633  0.3633  12 O 2.83-3.02
Ba  0.6367  0.6367  0.6367  12 O 2.83-3.02
Ba  0.8133  0.8133  0.8133  9 O 2.84-3.00
Ba  0.9122  0.9122  0.9122  9 O 2.74-2.97
Lu  0.2756  0.2756  0.2756  6 O 2.14-2.27
Lu  0.7244  0.7244  0.7244  6 O 2.14-2.27
W  0.0000  0.0000  0.0000  6 O 1.96
W  0.4474  0.4474  0.4474  6 O 1.88-2.07
W  0.5526  0.5526  0.5526  6 O 1.88-2.07
O  0.1052  0.5733  0.5733  1 W 2.07, 1 Lu 2.14
O  0.1312  0.1312  0.6599  1 W 1.96
O  0.1312  0.6599  0.1312  1 W 1.96
O  0.2129  0.6899  0.6899  1 W 1.88
O  0.3101  0.3101  0.7871  1 W 1.88
O  0.3101  0.7871  0.3101  1 W 1.88
O  0.3401  0.8688  0.8688  1 W 1.96
O  0.4267  0.4267  0.8948  1 W 2.07, 1 Lu 2.14
O  0.4267  0.8948  0.4267  1 W 2.07, 1 Lu 2.14
O  0.5733  0.1052  0.5733  1 W 2.07, 1 Lu 2.14
O  0.5733  0.5733  0.1052  1 W 2.07, 1 Lu 2.14
O  0.6599  0.1312  0.1312  1 W 1.96
O  0.6899  0.2129  0.6899  1 W 1.88
O  0.6899  0.6899  0.2129  1 W 1.88
O  0.7871  0.3101  0.3101  1 W 1.88
O  0.8688  0.3401  0.8688  1 W 1.96
O  0.8688  0.8688  0.3401  1 W 1.96
O  0.8948  0.4267  0.4267  1 W 2.07, 1 Lu 2.14